Tb5P | GGA-PBE | relaxed

It has space group Cmcm (No. 63), with a = 6.2401 Å, b = 10.7937 Å, c = 11.5696 Å, α = 90.00°, β = 90.00° and γ = 90.00°. The distinct sites, in fractional coordinates, are Tb at (0.0000, 0.1666, 0.0210), Tb at (0.0000, 0.3313, 0.7500), Tb at (0.2471, 0.0842, 0.7500) and P at (0.0000, 0.1675, 0.2500).

The crystal system is orthorhombic.

=====

TbP | GGA-PBE | relaxed

It has space group Pmma (No. 51), with a = 6.1932 Å, b = 5.4350 Å, c = 5.3692 Å, α = 90.00°, β = 90.00° and γ = 90.00°. The distinct sites, in fractional coordinates, are Tb at (0.0000, 0.0000, 0.0000), Tb at (0.2500, 0.5000, 0.3498), P at (0.2500, 0.0000, 0.4736) and P at (0.2500, 0.5000, 0.8539).

The crystal system is orthorhombic.

=====

Tb3P11 | GGA-PBE | relaxed

It has space group Cm (No. 8), with a = 14.5976 Å, b = 7.3515 Å, c = 5.7335 Å, α = 90.00°, β = 99.67° and γ = 90.00°. The distinct sites, in fractional coordinates, are Tb at (0.0000, 0.0000, 0.0000), Tb at (0.1279, 0.5000, 0.1972), Tb at (0.3331, 0.0000, 0.9278), P at (0.0221, 0.5000, 0.7100), P at (0.1566, 0.1568, 0.8510), P at (0.1938, 0.0000, 0.2935), P at (0.2068, 0.2335, 0.5295), P at (0.3217, 0.5000, 0.1479), P at (0.4097, 0.2612, 0.2696) and P at (0.4293, 0.2380, 0.6521).

The crystal system is monoclinic.

=====

TbP | GGA-PBE | relaxed

It has space group P-6m2 (No. 187), with a = 3.9208 Å, b = 3.9208 Å, c = 3.5734 Å, α = 90.00°, β = 90.00° and γ = 120.00°. The distinct sites, in fractional coordinates, are Tb at (0.0000, 0.0000, 0.0000) and P at (0.3333, 0.6667, 0.5000).

The crystal system is hexagonal.

=====

TbP2 | GGA-PBE | relaxed

It has space group P2_1/m (No. 11), with a = 3.9958 Å, b = 4.3541 Å, c = 7.2220 Å, α = 90.00°, β = 104.54° and γ = 90.00°. The distinct sites, in fractional coordinates, are Tb at (0.2285, 0.2500, 0.2752), P at (0.2454, 0.2500, 0.6769) and P at (0.4197, 0.7500, 0.0268).

The crystal system is monoclinic.

=====

Tb2P | GGA-PBE | relaxed

It has space group Fm-3m (No. 225), with a = 6.6667 Å, b = 6.6667 Å, c = 6.6667 Å, α = 90.00°, β = 90.00° and γ = 90.00°. The distinct sites, in fractional coordinates, are Tb at (0.2500, 0.2500, 0.2500) and P at (0.0000, 0.0000, 0.0000).

The crystal system is cubic.

=====

TbP2 | GGA-PBE | relaxed

It has space group Fd-3m (No. 227, origin choice 2), with a = 7.5839 Å, b = 7.5839 Å, c = 7.5839 Å, α = 90.00°, β = 90.00° and γ = 90.00°. The distinct sites, in fractional coordinates, are Tb at (0.1250, 0.1250, 0.1250) and P at (0.0000, 0.0000, 0.5000).

The crystal system is cubic.

=====

TbP | GGA-PBE | relaxed

It has space group F-43m (No. 216), with a = 6.3105 Å, b = 6.3105 Å, c = 6.3105 Å, α = 90.00°, β = 90.00° and γ = 90.00°. The distinct sites, in fractional coordinates, are Tb at (0.0000, 0.0000, 0.0000) and P at (0.2500, 0.2500, 0.2500).

The crystal system is cubic.

=====

| no. | electronic total energy (eV per atom) | size of the total moment (μB/f.u.) |
| --- | --- | --- |
| 1 | -4.7310 | 0.26 |
| 2 | -5.9071 | 0.00 |
| 3 | -5.6722 | 0.00 |
| 4 | -6.3019 | 0.00 |
| 5 | -6.0358 | 0.00 |
| 6 | -5.7307 | 0.01 |
| 7 | -5.4120 | 0.00 |
| 8 | -6.0879 | 0.00 |